The following is a DFT calculation (GGA-PBE) of crystalline MnBi3Cl at its relaxed geometry.

```
MnBi3Cl
1.0
-4.726 0.021 2.231
-1.093 -4.577 -2.274
1.945 -2.523 4.144
Bi Mn Cl
3 1 1
direct
0.500 0.000 0.000
0.000 0.000 0.500
0.000 0.500 0.000
0.000 0.000 0.000
0.500 0.500 0.500
```

**Formation energy without anion corrections**: 1.0 eV per formula unit
**Magnetic moment**: 2.7 μB/f.u.